Record 1
Here is Nd2AlCu7 after structural relaxation from Alexandria. Energies are from PBE.

The structure in POSCAR format:
```
Nd2AlCu7
1.0
-3.6120 0.1112 -1.7102
-1.0838 -3.2386 2.0785
-3.5415 6.2463 7.8861
Nd Al Cu
2 1 7
direct
0.5000 0.0000 0.7431
0.0000 0.5000 0.2569
0.5000 0.5000 0.0000
0.0000 0.5000 0.8606
0.5000 0.0000 0.3674
0.5000 0.0000 0.1394
0.0000 0.5000 0.6326
0.0000 0.0000 0.5000
0.0000 0.0000 0.0000
0.5000 0.5000 0.5000
```

The value obtained for the total energy is -4.370 eV/atom. The volume comes out at 170 Å³ per cell.

=====

Record 2
Here is LiCuGe after structural relaxation from Alexandria. Energies are from PBE.

The structure in POSCAR format:
```
LiCuGe
1.0
-1.0121 1.6942 3.5579
-2.3716 -2.0228 2.6148
1.5664 -1.4516 3.4631
Ge Cu Li
1 1 1
direct
0.0000 0.0000 0.0000
0.2500 0.2500 0.2500
0.5000 0.5000 0.5000
```

The value obtained for the total energy is -3.614 eV/atom. The volume comes out at 48 Å³ per cell.

=====

Record 3
Here is RbGaAg2 after structural relaxation from Alexandria. Energies are from PBE.

The structure in POSCAR format:
```
RbGaAg2
1.0
0.0000 3.7577 3.7577
3.7577 0.0000 3.7577
3.7577 3.7577 0.0000
Ga Rb Ag
1 1 2
direct
0.0000 0.0000 0.0000
0.5000 0.5000 0.5000
0.2500 0.2500 0.2500
0.7500 0.7500 0.7500
```

The value obtained for the total energy is -2.080 eV/atom. The volume comes out at 106 Å³ per cell. Its distance to the lowest polymorph of the same formula is 37.1 kJ/mol of atoms.

=====

Record 4
Here is Nd4AgRh after structural relaxation from Alexandria. Energies are from PBE.

The structure in POSCAR format:
```
Nd4AgRh
1.0
8.5391 0.0000 4.9301
2.8464 8.0508 4.9301
0.0000 0.0000 9.8601
Nd Ag Rh
16 4 4
direct
0.3986 0.3986 0.3986
0.8043 0.3986 0.3986
0.3986 0.8043 0.3986
0.3986 0.3986 0.8043
0.5605 0.5605 0.9395
0.9395 0.9395 0.5605
0.5605 0.9395 0.5605
0.9395 0.5605 0.9395
0.9395 0.5605 0.5605
0.5605 0.9395 0.9395
0.1869 0.1869 0.8131
0.8131 0.8131 0.1869
0.1869 0.8131 0.1869
0.8131 0.1869 0.8131
0.8131 0.1869 0.1869
0.1869 0.8131 0.8131
0.1689 0.1689 0.1689
0.4934 0.1689 0.1689
0.1689 0.4934 0.1689
0.1689 0.1689 0.4934
0.6074 0.6074 0.6074
0.1777 0.6074 0.6074
0.6074 0.1777 0.6074
0.6074 0.6074 0.1777
```

The value obtained for the total energy is -5.258 eV/atom. The volume comes out at 678 Å³ per cell. Its distance to the lowest polymorph of the same formula is 0.0 kJ/mol of atoms.

=====

Record 5
Here is DyY4Mg5 after structural relaxation from Alexandria. Energies are from PBE.

The structure in POSCAR format:
```
DyY4Mg5
1.0
-0.9353 -2.6796 2.5365
3.2674 0.6141 1.8536
-8.5240 13.0925 10.6880
Dy Y Mg
1 4 5
direct
0.0000 0.0000 0.0000
0.0000 0.0000 0.1993
0.0000 0.0000 0.3999
0.0000 0.0000 0.6001
0.0000 0.0000 0.8007
0.5000 0.5000 0.0995
0.5000 0.5000 0.2998
0.5000 0.5000 0.5000
0.5000 0.5000 0.7002
0.5000 0.5000 0.9005
```

The value obtained for the total energy is -3.946 eV/atom. The volume comes out at 274 Å³ per cell.

=====

Record 6
Here is LaTcO2F after structural relaxation from Alexandria. Energies are from PBE.

The structure in POSCAR format:
```
LaTcO2F
1.0
-1.5597 -3.8503 2.0946
2.4944 -2.6078 -2.9363
3.5204 0.1355 2.8704
F Tc O La
1 1 2 1
direct
0.0000 0.0000 0.5000
0.5000 0.5000 0.5000
0.0000 0.5000 0.0000
0.5000 0.0000 0.0000
0.0000 0.0000 0.0000
```

The value obtained for the formation energy (no corrections) is -1.232 eV per atom. The value obtained for the total energy is -6.648 eV/atom. The volume comes out at 98 Å³ per cell.